The following is a PBE calculation of crystalline MnSiAs2 at its relaxed geometry, from Alexandria.

Cell and atoms, written as POSCAR:
```
MnSiAs2
1.0
4.555 0.000 0.000
0.000 4.555 0.000
0.000 0.000 3.206
Mn Si As
1 1 2
direct
0.000 0.000 0.000 Mn
0.500 0.500 0.000 Si
0.000 0.500 0.500 As
0.500 0.000 0.500 As
```

Values from the calculation:
Total moment   3.52 μB per formula unit
Density of states at the Fermi level   2.648 states/eV per cell
Uncorrected energy   -5.62 eV per atom
Formation energy (no corrections)   355 meV/atom